Computed, not measured: RbHgBi3 at its PBEsol-relaxed geometry at the SCAN level of DFT.

```
data_RbHgBi3
_cell_length_a 5.764
_cell_length_b 5.764
_cell_length_c 5.764
_cell_angle_alpha 90.00
_cell_angle_beta 90.00
_cell_angle_gamma 90.00
_space_group_name_H-M_alt 'P m -3 m'
_space_group_IT_number 221
_space_group_name_Hall '-P 4 2 3'
loop_
_atom_site_label
_atom_site_fract_x
_atom_site_fract_y
_atom_site_fract_z
Rb1 0.000 0.000 0.000
Hg1 0.500 0.500 0.500
Bi1 0.000 0.500 0.500
```

Output
Formation enthalpy at 0 K = 0.259 eV per atom
Magnetization = 0.00 Bohr magnetons per cell
Energy relative to the lowest polymorph listed for this composition = 0.000 eV/atom
Density of states at the Fermi level = 3.40 states/eV per cell
DFT total energy = -2.377 Ha/atom